Record 1
Here is crystalline GdU2 at its relaxed geometry from Alexandria via LeMat-Bulk. Energies are from PBE-GGA.

extended XYZ file:
```
6
Lattice="0.0000 4.1129 4.1129 4.1129 0.0000 4.1129 4.1129 4.1129 0.0000" Properties=species:S:1:pos:R:3 pbc="T T T"
Gd 1.0282 1.0282 1.0282
Gd 7.1976 7.1976 7.1976
U 4.1129 2.0565 2.0565
U 2.0565 4.1129 2.0565
U 2.0565 2.0565 4.1129
U 4.1129 4.1129 4.1129
```

Output
Energy relative to the elements   0.3363 eV/atom
Magnetization   8.00 μB per formula unit

=====

Record 2
Here is crystalline GdU3 at its relaxed geometry from Alexandria via LeMat-Bulk. Energies are from PBE-GGA.

extended XYZ file:
```
4
Lattice="-2.1436 2.1436 4.9003 2.1436 -2.1436 4.9003 2.1436 2.1436 -4.9003" Properties=species:S:1:pos:R:3 pbc="T T T"
Gd 0.0000 0.0000 0.0000
U 2.1436 0.0000 2.4501
U 0.0000 0.0000 4.9003
U 0.0000 2.1436 2.4501
```

Output
Energy relative to the elements   0.5449 eV/atom
Magnetization   8.98 μB per formula unit

=====

Record 3
Here is crystalline GdV5 at its relaxed geometry from Alexandria via LeMat-Bulk. Energies are from PBE-GGA.

extended XYZ file:
```
6
Lattice="2.2568 -6.7947 0.0000 2.2568 6.7947 0.0000 0.0000 0.0000 3.0977" Properties=species:S:1:pos:R:3 pbc="T T T"
Gd 0.0000 0.0000 0.0000
V 2.2568 4.2131 1.5488
V 2.2568 2.3307 0.0000
V 2.2568 0.0000 1.5488
V 2.2568 -2.3307 0.0000
V 2.2568 -4.2131 1.5488
```

Output
Energy relative to the elements   0.3565 eV/atom
Magnetization   7.78 μB per formula unit

=====

Record 4
Here is crystalline GdYV4 at its relaxed geometry from Alexandria via LeMat-Bulk. Energies are from PBE-GGA.

extended XYZ file:
```
6
Lattice="0.0000 3.8155 3.8155 3.8155 0.0000 3.8155 3.8155 3.8155 0.0000" Properties=species:S:1:pos:R:3 pbc="T T T"
Gd 0.0000 0.0000 0.0000
Y 5.7232 5.7232 5.7232
V 2.8460 2.8460 2.8460
V 4.7849 4.7849 2.8460
V 4.7849 2.8460 4.7849
V 2.8460 4.7849 4.7849
```

Output
Energy relative to the elements   0.3828 eV/atom
Magnetization   8.03 μB per formula unit

=====

Record 5
Here is crystalline GdZrW4 at its relaxed geometry from Alexandria via LeMat-Bulk. Energies are from PBE-GGA.

extended XYZ file:
```
6
Lattice="0.0000 3.8824 3.8824 3.8824 0.0000 3.8824 3.8824 3.8824 0.0000" Properties=species:S:1:pos:R:3 pbc="T T T"
Gd 0.0000 0.0000 0.0000
Zr 5.8236 5.8236 5.8236
W 2.9105 2.9105 2.9105
W 4.8544 4.8544 2.9105
W 4.8544 2.9105 4.8544
W 2.9105 4.8544 4.8544
```

Output
Energy relative to the elements   0.0651 eV/atom
Magnetization   7.11 μB per formula unit

=====

Record 6
Here is crystalline GdY at its relaxed geometry from Alexandria via LeMat-Bulk. Energies are from PBE-GGA.

extended XYZ file:
```
4
Lattice="3.5920 0.0000 0.0000 0.0000 5.0361 0.0000 0.0000 0.0000 7.1801" Properties=species:S:1:pos:R:3 pbc="T T T"
Gd 0.8980 1.2590 0.8894
Gd 2.6940 3.7771 6.2907
Y 0.8980 1.2590 4.4823
Y 2.6940 3.7771 2.6978
```

Output
Energy relative to the elements   0.0249 eV/atom
Magnetization   7.28 μB per formula unit
Polymorph energy (0 for the lowest one)   0 meV per atom

=====

Record 7
Here is crystalline Gd2Y at its relaxed geometry from Alexandria via LeMat-Bulk. Energies are from PBE-GGA.

extended XYZ file:
```
6
Lattice="0.0000 4.6557 4.6557 4.6557 0.0000 4.6557 4.6557 4.6557 0.0000" Properties=species:S:1:pos:R:3 pbc="T T T"
Gd 0.0000 0.0000 0.0000
Gd 2.3278 2.3278 0.0000
Gd 2.3278 0.0000 2.3278
Gd 0.0000 2.3278 2.3278
Y 3.4918 3.4918 3.4918
Y 5.8196 5.8196 5.8196
```

Output
Energy relative to the elements   0.2256 eV/atom
Magnetization   14.24 μB per formula unit
Polymorph energy (0 for the lowest one)   138 meV per atom

=====

Record 8
Here is crystalline Gd2Y at its relaxed geometry from Alexandria via LeMat-Bulk. Energies are from PBE-GGA.

extended XYZ file:
```
3
Lattice="-2.0760 2.0760 5.7002 2.0760 -2.0760 5.7002 2.0760 2.0760 -5.7002" Properties=species:S:1:pos:R:3 pbc="T T T"
Gd 0.0000 0.0000 1.8986
Gd 0.0000 0.0000 9.5019
Y 0.0000 0.0000 5.7002
```

Output
Energy relative to the elements   0.0874 eV/atom
Magnetization   15.70 μB per formula unit
Polymorph energy (0 for the lowest one)   0 meV per atom